[1]
Entry from Alexandria: CeHg2Sb after structural relaxation (PBE-GGA).

Structure (POSCAR):
```
CeHg2Sb
1.0
1.6710 0.9647 11.8571
-1.6710 0.9647 11.8571
0.0000 -1.9295 11.8571
Ce Hg Sb
1 2 1
direct
0.0000 0.0000 0.0000
0.0885 0.0885 0.0885
0.9115 0.9115 0.9115
0.5000 0.5000 0.5000
```

Calculated values
- Formation energy from raw total energies: 0.713 eV per formula unit
- Density of states at the Fermi level: 6.7 states/eV per cell
- Symmetry: R-3m (166)

=====

[2]
Entry from Alexandria: Ce8HgSb5 after structural relaxation (PBE-GGA).

Structure (POSCAR):
```
Ce8HgSb5
1.0
-4.7063 4.7063 4.7466
4.7063 -4.7063 4.7466
4.7063 4.7063 -4.7466
Ce Hg Sb
8 1 5
direct
0.1202 0.3766 0.1004
0.1238 0.3774 0.6022
0.2762 0.0199 0.8996
0.4784 0.8762 0.2536
0.6226 0.2247 0.7464
0.6234 0.7238 0.7437
0.7753 0.5216 0.3978
0.9801 0.8798 0.2563
0.5000 0.5000 0.0000
0.2500 0.7500 0.5000
0.3732 0.2496 0.3710
0.7504 0.1215 0.1236
0.8785 0.0022 0.6290
0.9978 0.6268 0.8764
```

Calculated values
- Formation energy from raw total energies: -10.981 eV per formula unit
- Density of states at the Fermi level: 54.5 states/eV per cell
- Symmetry: I-4 (82)

=====

[3]
Entry from Alexandria: Ce2HgSb after structural relaxation (PBE-GGA).

Structure (POSCAR):
```
Ce2HgSb
1.0
2.1672 1.2513 7.9038
-2.1672 1.2513 7.9038
0.0000 -2.5025 7.9038
Ce Hg Sb
2 1 1
direct
0.2468 0.2468 0.2468
0.7532 0.7532 0.7532
0.0000 0.0000 0.0000
0.5000 0.5000 0.5000
```

Calculated values
- ΔE to the lowest computed polymorph: 0.085 eV/atom
- Formation energy from raw total energies: -2.072 eV per formula unit
- Density of states at the Fermi level: 16.1 states/eV per cell
- Symmetry: R-3m (166)

=====

[4]
Entry from Alexandria: Ce6HgSb5 after structural relaxation (PBE-GGA).

Structure (POSCAR):
```
Ce6HgSb5
1.0
3.8950 -6.7356 0.0000
3.8950 6.7356 0.0000
-2.5838 0.0000 7.3797
Ce Hg Sb
6 1 5
direct
0.0744 0.4152 0.7462
0.2439 0.2439 0.2533
0.4152 0.0744 0.7462
0.5848 0.9256 0.2538
0.7561 0.7561 0.7467
0.9256 0.5848 0.2538
0.5000 0.5000 0.0000
0.0000 0.0000 0.5000
0.1669 0.8331 0.0000
0.3353 0.6647 0.5000
0.6647 0.3353 0.5000
0.8331 0.1669 0.0000
```

Calculated values
- Formation energy from raw total energies: -10.328 eV per formula unit
- Density of states at the Fermi level: 43.6 states/eV per cell
- Symmetry: C2/m (12)